## Y2BeCr (PBE)

Data for an optimized crystal structure of Y2BeCr.

a b c (Å): 3.4812 3.5162 6.9879
angles (deg): 90.00 90.00 90.00
With the nearest neighbours (Å) after each atom.
Space group Pmmm (No. 47)
One atom of each set of equivalent atoms:
Y (0.0000, 0.0000, 0.2377) [2 per cell]  4 Be 2.98, 4 Cr 3.08, 1 Y 3.32
Be (0.5000, 0.5000, 0.0000) [1 per cell]  8 Y 2.98
Cr (0.5000, 0.5000, 0.5000) [1 per cell]  8 Y 3.08

- DOS at the Fermi energy (states/eV per cell) = 3.101
- ΔE_f (eV per atom) = 0.253
- E (eV/atom) = -6.32

=====

## AcYHgRu (PBE)

Data for an optimized crystal structure of AcYHgRu.

a b c (Å): 7.4422 7.4422 7.4422
angles (deg): 90.00 90.00 90.00
With the nearest neighbours (Å) after each atom.
Space group F-43m (No. 216)
One atom of each set of equivalent atoms:
Ac (0.0000, 0.0000, 0.0000) [4 per cell]  4 Ru 3.22, 4 Hg 3.22
Y (0.0000, 0.0000, 0.5000) [4 per cell]  4 Hg 3.22, 4 Ru 3.22
Hg (0.2500, 0.2500, 0.7500) [4 per cell]  4 Ac 3.22, 4 Y 3.22
Ru (0.2500, 0.2500, 0.2500) [4 per cell]  4 Ac 3.22, 4 Y 3.22

- DOS at the Fermi energy (states/eV per cell) = 13.020
- ΔE_f (eV per atom) = -0.194
- E (eV/atom) = -5.23

=====

## LaHoNi17 (PBE)

Data for an optimized crystal structure of LaHoNi17.

a b c (Å): 8.3379 8.3379 12.1165
angles (deg): 90.00 90.00 120.00
With the nearest neighbours (Å) after each atom.
Space group R3m (No. 160, hexagonal axes)
One atom of each set of equivalent atoms:
La (0.0000, 0.0000, 0.0000) [3 per cell]  19 Ni 2.96-3.22
Ho (0.0000, 0.0000, 0.3201) [3 per cell]  19 Ni 2.88-3.22
Ni (0.0000, 0.0000, 0.5580) [3 per cell]  7 Ni 2.39-2.56
Ni (0.0000, 0.0000, 0.7554) [3 per cell]  7 Ni 2.39-2.60
Ni (0.0002, 0.5001, 0.5042) [9 per cell]  9 Ni 2.42-2.60
Ni (0.0015, 0.5007, 0.1572) [9 per cell]  10 Ni 2.37-2.56
Ni (0.0430, 0.3750, 0.3244) [18 per cell]  8 Ni 2.37-2.57
Ni (0.1686, 0.3371, 0.1465) [9 per cell]  9 Ni 2.39-2.57

- DOS at the Fermi energy (states/eV per cell) = 78.954
- ΔE_f (eV per atom) = -0.177
- E (eV/atom) = -5.85

=====

## CsTaTl2Se4 (PBE)

Data for an optimized crystal structure of CsTaTl2Se4.

a b c (Å): 7.7882 8.4615 9.2645
angles (deg): 90.00 90.00 90.00
With the nearest neighbours (Å) after each atom.
Space group I222 (No. 23)
One atom of each set of equivalent atoms:
Cs (0.0000, 0.0000, 0.0000) [2 per cell]  8 Se 3.86-3.97
Ta (0.0000, 0.0000, 0.5000) [2 per cell]  4 Se 2.42
Tl (0.0000, 0.5000, 0.2906) [4 per cell]  4 Se 3.14-3.22
Se (0.1842, 0.1673, 0.3550) [8 per cell]  1 Ta 2.42

- uncorrected formation energy (eV per atom) = -0.760
- DOS at the Fermi energy (states/eV per cell) = 0.014
- E (eV/atom) = -4.68

=====

## KReRhI2 (PBE)

Data for an optimized crystal structure of KReRhI2.

a b c (Å): 5.3808 5.3808 5.8446
angles (deg): 90.00 90.00 90.00
With the nearest neighbours (Å) after each atom.
Space group P4/mmm (No. 123)
One atom of each set of equivalent atoms:
K (0.0000, 0.0000, 0.0000) [1 per cell]  2 Rh 2.92
Re (0.5000, 0.5000, 0.0000) [1 per cell]  4 K 3.80, 8 I 3.97
Rh (0.0000, 0.0000, 0.5000) [1 per cell]  4 I 2.69, 2 K 2.92
I (0.0000, 0.5000, 0.5000) [2 per cell]  2 Rh 2.69

- uncorrected formation energy (eV per atom) = 1.219
- DOS at the Fermi energy (states/eV per cell) = 4.237
- E (eV/atom) = -3.58

=====

## KLi2P (PBE)

Data for an optimized crystal structure of KLi2P.

a b c (Å): 6.4022 7.3359 4.8678
angles (deg): 90.00 130.97 90.00
With the nearest neighbours (Å) after each atom.
Space group C2/m (No. 12)
One atom of each set of equivalent atoms:
K (0.0000, 0.0000, 0.0000) [2 per cell]  4 Li 2.60
Li (0.2500, 0.2500, 0.5000) [4 per cell]  2 K 2.60, 2 P 2.60
P (0.0000, 0.5000, 0.0000) [2 per cell]  4 Li 2.60

- DOS at the Fermi energy (states/eV per cell) = 0.005
- ΔE_f (eV per atom) = -0.102
- E (eV/atom) = -2.69